[1]
## LaTl2ClO (PBE)

Data for a relaxed structure of LaTl2ClO.

a b c (Å): 5.817 5.817 4.439
angles (deg): 90.00 90.00 90.00
Space group P4/mmm (No. 123)
Symmetry-distinct sites (fractional):
La 0.000 0.000 0.000
Tl 0.000 0.500 0.500
Cl 0.500 0.500 0.000
O 0.000 0.000 0.500

Summary:
volume	150.2	Å³ per cell
final energy	-4.3644	eV per atom
crystal system	tetragonal

=====

[2]
## La3UCl3O6 (PBE)

Data for a relaxed structure of La3UCl3O6.

a b c (Å): 9.6124 9.6124 5.6515
angles (deg): 90.00 90.00 120.00
Space group P6_3/m (No. 176)
Symmetry-distinct sites (fractional):
La 0.0883 0.6830 0.2500
U 0.3333 0.6667 0.7500
Cl 0.0583 0.8079 0.7500
O 0.1524 0.5198 0.5093

Summary:
volume	452.2	Å³ per cell
final energy	-7.8661	eV per atom
crystal system	hexagonal

=====

What did we get for magnetic moment? Answer: 0.00 0.00 μB/atom, in the order shown.